Li2ScHg2 | PBE-GGA | relaxed

Results
**Symmetry**: P4/mbm, No. 127
**Energy of formation from the pure elements**: -1.08 eV/f.u.
**Theoretical density**: 7.4 g cm⁻³
**E_tot**: -23.694 eV for the cell shown
**Size of the total moment**: 0.422 Bohr magnetons per cell

abc: 7.669 7.669 3.498
angles: 90.00 90.00 90.00
Each line ends with the local moment (μB).
Sites, in units of the cell vectors:
1 Sc 0.000 0.000 0.000  0.14
2 Sc 0.500 0.500 0.000  0.14
3 Hg 0.358 0.858 0.000  0.00
4 Hg 0.858 0.642 0.000  0.00
5 Hg 0.642 0.142 0.000  0.00
6 Hg 0.142 0.358 0.000  0.00
7 Li 0.157 0.657 0.500  0.00
8 Li 0.657 0.843 0.500  0.00
9 Li 0.843 0.343 0.500  0.00
10 Li 0.343 0.157 0.500  0.00